# CuSb6Pd

A relaxed CuSb6Pd crystal (PBE-GGA, Alexandria). Values from VASP.

Structure (Quantum ESPRESSO input):
```
&SYSTEM
  ibrav = 0, nat = 16, ntyp = 3
/
ATOMIC_SPECIES
Cu 63.55 Cu.upf
Sb 121.76 Sb.upf
Pd 106.42 Pd.upf
CELL_PARAMETERS angstrom
7.792 -0.033 -2.746
-3.865 6.766 -2.747
-0.011 -0.012 8.254
ATOMIC_POSITIONS angstrom
Cu -1.932 3.383 -1.373
Cu 3.896 -0.017 -1.373
Sb -1.324 4.422 4.474
Sb 5.240 2.299 -1.712
Sb 4.061 4.388 0.005
Sb -0.145 2.333 2.756
Sb 5.700 1.029 2.761
Sb -1.784 5.691 0.001
Sb 0.613 5.700 1.724
Sb 3.303 1.021 1.037
Sb 1.955 5.457 -2.751
Sb 1.961 1.264 5.513
Sb 3.176 3.348 3.813
Sb 0.740 3.373 -1.052
Pd -0.005 -0.006 4.127
Pd 1.958 3.360 1.381
```

Uncorrected formation energy (meV/atom): -93


# Ca2Pr8Dy

A relaxed Ca2Pr8Dy crystal (PBE-GGA, Alexandria). Values from VASP.

Structure (Quantum ESPRESSO input):
```
&SYSTEM
  ibrav = 0, nat = 11, ntyp = 3
/
ATOMIC_SPECIES
Ca 40.08 Ca.upf
Pr 140.91 Pr.upf
Dy 162.50 Dy.upf
CELL_PARAMETERS angstrom
-3.492 3.372 2.108
0.236 -4.198 7.106
8.570 4.831 -0.172
ATOMIC_POSITIONS angstrom
Ca 3.418 2.984 7.534
Ca 1.896 1.021 1.508
Pr 5.734 3.085 4.567
Pr 0.921 0.240 7.785
Pr 2.103 3.750 4.130
Pr 0.801 -2.437 5.225
Pr 3.211 0.255 4.912
Pr 4.393 3.764 1.257
Pr -0.420 0.920 4.475
Pr 4.513 6.442 3.817
Dy -1.746 1.686 1.054
```

DFT formation energy (eV/atom): 0.05


# TaAgAs2

A relaxed TaAgAs2 crystal (PBE-GGA, Alexandria). Values from VASP.

Structure (Quantum ESPRESSO input):
```
&SYSTEM
  ibrav = 0, nat = 4, ntyp = 3
/
ATOMIC_SPECIES
As 74.92 As.upf
Ag 107.87 Ag.upf
Ta 180.95 Ta.upf
CELL_PARAMETERS angstrom
-1.638 1.368 2.630
-2.923 -3.463 -0.019
2.681 -2.279 2.855
ATOMIC_POSITIONS angstrom
As 0.000 0.000 0.000
As -0.121 -2.871 1.418
Ag 0.522 -0.456 2.742
Ta -2.280 -1.047 1.305
```

DFT formation energy (eV/atom): 0.12


# Ce2PrP

A relaxed Ce2PrP crystal (PBE-GGA, Alexandria). Values from VASP.

Structure (Quantum ESPRESSO input):
```
&SYSTEM
  ibrav = 0, nat = 4, ntyp = 3
/
ATOMIC_SPECIES
Ce 140.12 Ce.upf
Pr 140.91 Pr.upf
P 30.97 P.upf
CELL_PARAMETERS angstrom
-1.229 0.609 3.582
-0.796 -2.975 2.286
8.218 -0.821 5.012
ATOMIC_POSITIONS angstrom
Ce 6.594 -0.815 4.454
Ce 0.958 -0.795 2.517
Pr 3.083 -1.594 5.435
P -1.346 -1.577 3.913
```

DFT formation energy (eV/atom): -0.59
Relative energy among the computed polymorphs (kcal/mol of atoms): 0.00


# Tb12Al2In5

A relaxed Tb12Al2In5 crystal (PBE-GGA, Alexandria). Values from VASP.

Structure (Quantum ESPRESSO input):
```
&SYSTEM
  ibrav = 0, nat = 19, ntyp = 3
/
ATOMIC_SPECIES
Tb 158.93 Tb.upf
Al 26.98 Al.upf
In 114.82 In.upf
CELL_PARAMETERS angstrom
-2.857 8.213 4.204
-4.839 -5.274 -4.079
-2.100 -4.239 6.854
ATOMIC_POSITIONS angstrom
Tb -6.759 2.580 1.463
Tb -5.172 -6.778 2.752
Tb -6.968 -1.614 5.395
Tb -5.009 -4.136 0.089
Tb -6.190 -0.740 1.827
Tb -6.759 -3.927 3.080
Tb -3.036 2.627 3.899
Tb -4.786 2.836 6.890
Tb -3.605 -0.560 5.152
Tb -4.623 5.479 4.227
Tb -2.827 0.314 1.584
Tb -3.036 -3.879 5.516
Al -1.954 5.618 2.875
Al -0.903 2.596 1.329
In -3.899 -2.725 2.674
In -4.219 -0.980 -0.953
In -1.050 -2.119 3.427
In -5.576 -0.320 7.932
In -5.896 1.425 4.305
```

DFT formation energy (eV/atom): -0.22


# BaMg2GeW

A relaxed BaMg2GeW crystal (PBE-GGA, Alexandria). Values from VASP.

Structure (Quantum ESPRESSO input):
```
&SYSTEM
  ibrav = 0, nat = 5, ntyp = 4
/
ATOMIC_SPECIES
Mg 24.30 Mg.upf
Ge 72.64 Ge.upf
Ba 137.33 Ba.upf
W 183.84 W.upf
CELL_PARAMETERS angstrom
-4.880 -0.914 0.949
-0.946 -1.284 -6.103
1.078 -4.864 0.857
ATOMIC_POSITIONS angstrom
Mg 0.539 -2.432 0.428
Mg -2.440 -0.457 0.474
Ge 0.000 0.000 0.000
Ba -0.473 -0.642 -3.051
W -2.374 -3.531 -2.149
```

DFT formation energy (eV/atom): 1.09


# RbLiTiO3

A relaxed RbLiTiO3 crystal (PBE-GGA, Alexandria). Values from VASP.

Structure (Quantum ESPRESSO input):
```
&SYSTEM
  ibrav = 0, nat = 12, ntyp = 4
/
ATOMIC_SPECIES
Rb 85.47 Rb.upf
Li 6.94 Li.upf
Ti 47.87 Ti.upf
O 16.00 O.upf
CELL_PARAMETERS angstrom
5.525 0.000 0.000
0.000 5.676 0.000
0.000 -2.838 5.252
ATOMIC_POSITIONS angstrom
Rb 4.144 0.000 2.827
Rb 1.381 2.838 2.426
Li 1.381 0.000 4.526
Li 4.144 2.838 0.727
Ti 1.381 0.000 0.576
Ti 4.144 2.838 4.676
O 1.381 0.000 2.344
O 0.000 1.296 0.000
O 2.762 4.380 0.000
O 2.762 1.296 0.000
O 0.000 4.380 0.000
O 4.144 2.838 2.908
```

Uncorrected formation energy (meV/atom): -2490


# KMg2AlFe

A relaxed KMg2AlFe crystal (PBE-GGA, Alexandria). Values from VASP.

Structure (Quantum ESPRESSO input):
```
&SYSTEM
  ibrav = 0, nat = 5, ntyp = 4
/
ATOMIC_SPECIES
Mg 24.30 Mg.upf
K 39.10 K.upf
Fe 55.84 Fe.upf
Al 26.98 Al.upf
CELL_PARAMETERS angstrom
5.707 0.000 0.000
0.000 5.669 0.000
0.000 0.000 5.707
ATOMIC_POSITIONS angstrom
Mg 0.000 0.000 2.854
Mg 2.854 0.000 0.000
K 0.000 0.000 0.000
Fe 2.854 2.834 2.854
Al 0.000 2.834 0.000
```

DFT formation energy (eV/atom): 1.79


# CsAcCl4

A relaxed CsAcCl4 crystal (PBE-GGA, Alexandria). Values from VASP.

Structure (Quantum ESPRESSO input):
```
&SYSTEM
  ibrav = 0, nat = 6, ntyp = 3
/
ATOMIC_SPECIES
Cs 132.91 Cs.upf
Ac 227.00 Ac.upf
Cl 35.45 Cl.upf
CELL_PARAMETERS angstrom
-2.612 2.693 3.381
-1.322 -4.259 2.371
6.744 0.559 4.764
ATOMIC_POSITIONS angstrom
Cs 0.000 0.000 0.000
Ac 1.405 -0.503 5.258
Cl 3.444 1.741 5.046
Cl 4.089 -1.735 4.541
Cl 0.687 1.512 3.099
Cl 1.333 -1.964 2.594
```

Uncorrected formation energy (meV/atom): -2318
Relative energy among the computed polymorphs (kcal/mol of atoms): 0.31


# MnAl2Pt

A relaxed MnAl2Pt crystal (PBE-GGA, Alexandria). Values from VASP.

Structure (Quantum ESPRESSO input):
```
&SYSTEM
  ibrav = 0, nat = 8, ntyp = 3
/
ATOMIC_SPECIES
Mn 54.94 Mn.upf
Al 26.98 Al.upf
Pt 195.08 Pt.upf
CELL_PARAMETERS angstrom
-6.126 -0.500 3.234
-1.326 -5.896 -3.424
-2.561 -4.614 1.892
ATOMIC_POSITIONS angstrom
Mn -3.726 -3.198 -0.095
Mn -3.807 -6.854 -0.813
Al -4.732 -2.211 2.118
Al -2.137 -4.893 -1.314
Al -4.694 -5.765 1.403
Al -8.463 -9.151 1.199
Pt 0.000 0.000 0.000
Pt -6.207 -4.156 2.516
```

DFT formation energy (eV/atom): -0.19


# Co2PbW

A relaxed Co2PbW crystal (PBE-GGA, Alexandria). Values from VASP.

Structure (Quantum ESPRESSO input):
```
&SYSTEM
  ibrav = 0, nat = 4, ntyp = 3
/
ATOMIC_SPECIES
Co 58.93 Co.upf
Pb 207.20 Pb.upf
W 183.84 W.upf
CELL_PARAMETERS angstrom
4.547 -0.007 -0.020
0.807 4.475 0.020
-2.661 -2.254 2.919
ATOMIC_POSITIONS angstrom
Co 0.001 0.001 0.000
Co 2.676 2.233 0.000
Pb 2.282 -0.013 1.449
W 0.412 2.228 1.470
```

DFT formation energy (eV/atom): 0.60


# Cs2Rb3F5

A relaxed Cs2Rb3F5 crystal (PBE-GGA, Alexandria). Values from VASP.

Structure (Quantum ESPRESSO input):
```
&SYSTEM
  ibrav = 0, nat = 10, ntyp = 3
/
ATOMIC_SPECIES
Cs 132.91 Cs.upf
Rb 85.47 Rb.upf
F 19.00 F.upf
CELL_PARAMETERS angstrom
-2.878 1.904 2.278
-6.696 -2.717 -2.435
-1.802 -5.887 6.397
ATOMIC_POSITIONS angstrom
Cs -1.970 -1.223 2.287
Cs -9.407 -5.477 3.953
Rb -5.688 -3.350 3.120
Rb -4.905 -2.289 -0.530
Rb -6.471 -4.410 6.770
F 0.000 0.000 0.000
F -2.830 -3.870 3.413
F -8.546 -2.830 2.827
F -5.089 -0.903 1.832
F -6.287 -5.796 4.408
```

Uncorrected formation energy (meV/atom): -2627